1.
A plane-wave DFT calculation with meta-GGA SCAN was carried out for a crystal of Ca2NbPbSe relaxed with PBEsol.

Summary:
- Formation energy without anion corrections: 0.4707 eV per atom

a b c (Å): 5.3050 5.4467 5.4467
angles (deg): 90.00 90.00 90.00
Fractional positions:
1 Pb 0.5000 0.0000 0.0000
2 Nb 0.0000 0.0000 0.0000
3 Ca 0.0000 0.0000 0.5000
4 Ca 0.0000 0.5000 0.0000
5 Se 0.5000 0.5000 0.5000

=====

2.
A plane-wave DFT calculation with meta-GGA SCAN was carried out for a crystal of CaNbSb2Pt relaxed with PBEsol.

Summary:
- Formation energy without anion corrections: 1.7572 eV per atom

a b c (Å): 4.6139 5.2870 5.2870
angles (deg): 90.00 90.00 90.00
Fractional positions:
1 Sb 0.0000 0.0000 0.5000
2 Sb 0.0000 0.5000 0.0000
3 Nb 0.5000 0.0000 0.0000
4 Ca 0.0000 0.0000 0.0000
5 Pt 0.5000 0.5000 0.5000

=====

3.
A plane-wave DFT calculation with meta-GGA SCAN was carried out for a crystal of RbCa2Nb relaxed with PBEsol.

Summary:
- ΔE_f: 860 meV per atom

a b c (Å): 5.8345 5.8345 5.8345
angles (deg): 60.00 60.00 60.00
Fractional positions:
1 Nb 0.5000 0.5000 0.5000
2 Ca 0.2500 0.2500 0.2500
3 Ca 0.7500 0.7500 0.7500
4 Rb 0.0000 0.0000 0.0000

=====

What E values result from the calculations? In sequence: -29.1925, -35.7443, -17.4388 eV/atom.
What N(E_F) values result from the calculations? In sequence: 4.79, 3.90, 3.33 states/eV/cell.